# 1
Computed, not measured: a geometry-optimized YMgTl structure at the PBE-GGA level of DFT.

Values from the calculation:
**ΔH_f (0 K)**: -0.35 eV per atom

a = 7.5549 Å, b = 7.5549 Å, c = 4.6801 Å
α = 90.00°, β = 90.00°, γ = 120.00°
Last column: nearest neighbours and their distance in Å.
Fractional positions:
1 Y 0.0000 0.5687 0.0000  5 Tl 3.24-3.26, 2 Mg 3.40
2 Y 0.4313 0.4313 0.0000  5 Tl 3.24-3.26, 2 Mg 3.40
3 Y 0.5687 0.0000 0.0000  5 Tl 3.24-3.26, 2 Mg 3.40
4 Mg 0.0000 0.2428 0.5000  4 Tl 2.92-2.97, 2 Mg 3.18
5 Mg 0.2428 0.0000 0.5000  4 Tl 2.92-2.97, 2 Mg 3.18
6 Mg 0.7572 0.7572 0.5000  4 Tl 2.92-2.97, 2 Mg 3.18
7 Tl 0.0000 0.0000 0.0000  6 Mg 2.97, 3 Y 3.26
8 Tl 0.3333 0.6667 0.5000  3 Mg 2.92, 6 Y 3.24
9 Tl 0.6667 0.3333 0.5000  3 Mg 2.92, 6 Y 3.24



# 2
Computed, not measured: a geometry-optimized Nb3BTe structure at the PBE-GGA level of DFT.

Values from the calculation:
**ΔE_f (raw)**: 0.084 eV/atom
**Offset from the most stable computed form**: 0.000 eV/atom

a = 4.4257 Å, b = 4.4257 Å, c = 4.4257 Å
α = 90.00°, β = 90.00°, γ = 90.00°
Last column: nearest neighbours and their distance in Å.
Fractional positions:
1 Nb 0.0000 0.0000 0.5000  2 B 2.21
2 Nb 0.0000 0.5000 0.0000  2 B 2.21
3 Nb 0.5000 0.0000 0.0000  2 B 2.21
4 B 0.0000 0.0000 0.0000  6 Nb 2.21
5 Te 0.5000 0.5000 0.5000  12 Nb 3.13



# 3
Computed, not measured: a geometry-optimized AcDyCd structure at the PBE-GGA level of DFT.

Values from the calculation:
**Offset from the most stable computed form**: 0.000 eV/atom
**ΔH_f (0 K)**: -0.17 eV per atom

a = 7.1024 Å, b = 7.1024 Å, c = 7.1024 Å
α = 148.32°, β = 148.32°, γ = 45.41°
Last column: nearest neighbours and their distance in Å.
Fractional positions:
1 Ac 0.0000 0.0000 0.0000  4 Cd 3.58, 5 Dy 3.77-3.97, 4 Ac 3.88
2 Dy 0.3027 0.3027 0.0000  4 Cd 3.20
3 Cd 0.6762 0.6762 0.0000  4 Dy 3.20, 4 Ac 3.58



# 4
Computed, not measured: a geometry-optimized PaIn3 structure at the PBE-GGA level of DFT.

Values from the calculation:
**Offset from the most stable computed form**: 0.510 eV/atom
**ΔH_f (0 K)**: 0.38 eV per atom

a = 6.8063 Å, b = 6.8063 Å, c = 6.8063 Å
α = 142.17°, β = 142.17°, γ = 54.58°
Last column: nearest neighbours and their distance in Å.
Fractional positions:
1 Pa 0.0000 0.0000 0.0000  6 In 3.12-3.24
2 In 0.2677 0.2677 0.0000  1 In 2.81
3 In 0.5000 0.5000 0.0000  2 In 2.81, 4 Pa 3.12
4 In 0.7323 0.7323 0.0000  1 In 2.81



no.,V (Å³/cell)
1,231.3
2,86.7
3,98.5
4,117.8